Below is an optimized crystal structure of Ce3SeN3, with properties calculated at the GGA-PBE level.

```
14
Lattice="6.7482 -1.9494 0.0000 6.7482 1.9494 0.0000 -5.7067 0.0000 10.4311" Properties=species:S:1:pos:R:3 pbc="T T T"
Ce -0.8830 0.0000 4.6232
Ce -3.3422 0.0000 9.3198
Ce 0.2001 0.0000 8.3217
Ce 7.5897 0.0000 2.1094
Ce 11.1320 0.0000 1.1113
Ce 8.6728 0.0000 5.8079
Se 3.2456 0.0000 3.3455
Se 4.5441 0.0000 7.0856
N -0.3605 0.0000 2.1910
N 0.8101 0.0000 6.1605
N -1.1271 0.0000 10.2960
N 8.9168 0.0000 0.1351
N 6.9797 0.0000 4.2706
N 8.1503 0.0000 8.2401
```

Total moment   1.2 μB per formula unit
E_form (uncorrected)   -1592 meV per atom
Raw total energy   -57.405 eV per formula unit
Space-group type   C2/m